# 1
## MgOs4 (GGA-PBE)

Data for a relaxed structure of MgOs4.

Properties
**Energy relative to the elements**: 2.36 eV/f.u.
**Density**: 14.8 Mg/m³
**Space-group type**: I4/mmm, No. 139
**Relative energy among the computed polymorphs**: 174 meV/atom
**Energy**: -8.8315 eV per atom

Cell and atoms, written as CIF:
```
data_MgOs4
_symmetry_space_group_name_H-M 'P 1'
_symmetry_Int_Tables_number 1
_cell_length_a 6.137
_cell_length_b 6.137
_cell_length_c 6.137
_cell_angle_alpha 141.73
_cell_angle_beta 141.73
_cell_angle_gamma 55.24
loop_
_symmetry_equiv_pos_as_xyz
'x,y,z'
loop_
_atom_site_label
_atom_site_fract_x
_atom_site_fract_y
_atom_site_fract_z
_atom_site_occupancy
Mg1 0.000 0.000 0.000 1
Os1 0.250 0.750 0.500 1
Os2 0.392 0.392 0.000 1
Os3 0.608 0.608 0.000 1
Os4 0.750 0.250 0.500 1
```



# 2
## Sc5MnCo6 (GGA-PBE)

Data for a relaxed structure of Sc5MnCo6.

Properties
**Energy relative to the elements**: -3.37 eV/f.u.
**Density**: 6.0 Mg/m³
**Space-group type**: Immm, No. 71
**Energy**: -7.2364 eV per atom

Cell and atoms, written as CIF:
```
data_Sc5MnCo6
_symmetry_space_group_name_H-M 'P 1'
_symmetry_Int_Tables_number 1
_cell_length_a 7.532
_cell_length_b 7.532
_cell_length_c 7.532
_cell_angle_alpha 146.59
_cell_angle_beta 131.36
_cell_angle_gamma 60.30
loop_
_symmetry_equiv_pos_as_xyz
'x,y,z'
loop_
_atom_site_label
_atom_site_fract_x
_atom_site_fract_y
_atom_site_fract_z
_atom_site_occupancy
Sc1 0.000 0.000 0.000 1
Sc2 0.169 0.669 0.500 1
Sc3 0.340 0.340 0.000 1
Sc4 0.660 0.660 0.000 1
Sc5 0.831 0.331 0.500 1
Mn1 0.500 0.000 0.500 1
Co1 0.094 0.838 0.256 1
Co2 0.258 0.500 0.758 1
Co3 0.418 0.162 0.256 1
Co4 0.582 0.838 0.744 1
Co5 0.742 0.500 0.242 1
Co6 0.906 0.162 0.744 1
```



# 3
## NdYCdRu (GGA-PBE)

Data for a relaxed structure of NdYCdRu.

Properties
**Energy relative to the elements**: -0.88 eV/f.u.
**Density**: 7.8 Mg/m³
**Space-group type**: F-43m, No. 216
**Relative energy among the computed polymorphs**: 94 meV/atom
**Energy**: -5.5746 eV per atom

Cell and atoms, written as CIF:
```
data_NdYCdRu
_symmetry_space_group_name_H-M 'P 1'
_symmetry_Int_Tables_number 1
_cell_length_a 5.124
_cell_length_b 5.124
_cell_length_c 5.124
_cell_angle_alpha 60.00
_cell_angle_beta 60.00
_cell_angle_gamma 60.00
loop_
_symmetry_equiv_pos_as_xyz
'x,y,z'
loop_
_atom_site_label
_atom_site_fract_x
_atom_site_fract_y
_atom_site_fract_z
_atom_site_occupancy
Nd1 0.000 0.000 0.000 1
Y1 0.500 0.500 0.500 1
Cd1 0.250 0.250 0.250 1
Ru1 0.750 0.750 0.750 1
```



# 4
## CoAs4Ru (GGA-PBE)

Data for a relaxed structure of CoAs4Ru.

Properties
**Energy relative to the elements**: 5.72 eV/f.u.
**Density**: 7.2 Mg/m³
**Space-group type**: F-43m, No. 216
**Energy**: -4.8773 eV per atom

Cell and atoms, written as CIF:
```
data_CoAs4Ru
_symmetry_space_group_name_H-M 'P 1'
_symmetry_Int_Tables_number 1
_cell_length_a 5.315
_cell_length_b 5.315
_cell_length_c 5.315
_cell_angle_alpha 60.00
_cell_angle_beta 60.00
_cell_angle_gamma 60.00
loop_
_symmetry_equiv_pos_as_xyz
'x,y,z'
loop_
_atom_site_label
_atom_site_fract_x
_atom_site_fract_y
_atom_site_fract_z
_atom_site_occupancy
Co1 0.000 0.000 0.000 1
As1 0.125 0.625 0.625 1
As2 0.625 0.125 0.625 1
As3 0.625 0.625 0.125 1
As4 0.625 0.625 0.625 1
Ru1 0.250 0.250 0.250 1
```



# 5
## As2PtRh (GGA-PBE)

Data for a relaxed structure of As2PtRh.

Properties
**Energy relative to the elements**: 0.96 eV/f.u.
**Density**: 11.3 Mg/m³
**Space-group type**: F-43m, No. 216
**Relative energy among the computed polymorphs**: 507 meV/atom
**Energy**: -5.4324 eV per atom

Cell and atoms, written as CIF:
```
data_As2PtRh
_symmetry_space_group_name_H-M 'P 1'
_symmetry_Int_Tables_number 1
_cell_length_a 4.529
_cell_length_b 4.529
_cell_length_c 4.529
_cell_angle_alpha 60.00
_cell_angle_beta 60.00
_cell_angle_gamma 60.00
loop_
_symmetry_equiv_pos_as_xyz
'x,y,z'
loop_
_atom_site_label
_atom_site_fract_x
_atom_site_fract_y
_atom_site_fract_z
_atom_site_occupancy
As1 0.000 0.000 0.000 1
As2 0.250 0.250 0.250 1
Pt1 0.500 0.500 0.500 1
Rh1 0.750 0.750 0.750 1
```



# 6
## Ho3Tl4AgTe8 (GGA-PBE)

Data for a relaxed structure of Ho3Tl4AgTe8.

Properties
**Density**: 7.6 Mg/m³
**Space-group type**: C2/m, No. 12
**ΔE_f (raw)**: -0.77 eV per atom
**Energy**: -3.9656 eV per atom

Cell and atoms, written as CIF:
```
data_Ho3Tl4AgTe8
_symmetry_space_group_name_H-M 'P 1'
_symmetry_Int_Tables_number 1
_cell_length_a 8.859
_cell_length_b 8.859
_cell_length_c 9.413
_cell_angle_alpha 118.10
_cell_angle_beta 118.10
_cell_angle_gamma 59.95
loop_
_symmetry_equiv_pos_as_xyz
'x,y,z'
loop_
_atom_site_label
_atom_site_fract_x
_atom_site_fract_y
_atom_site_fract_z
_atom_site_occupancy
Ho1 0.000 0.000 0.000 1
Ho2 0.000 0.500 0.000 1
Ho3 0.500 0.000 0.000 1
Tl1 0.000 0.000 0.500 1
Tl2 0.000 0.500 0.500 1
Tl3 0.500 0.000 0.500 1
Tl4 0.500 0.500 0.500 1
Ag1 0.500 0.500 0.000 1
Te1 0.239 0.239 0.218 1
Te2 0.240 0.737 0.215 1
Te3 0.262 0.262 0.784 1
Te4 0.263 0.760 0.785 1
Te5 0.737 0.240 0.215 1
Te6 0.738 0.738 0.216 1
Te7 0.760 0.263 0.785 1
Te8 0.761 0.761 0.782 1
```



# 7
## TcHSe2 (GGA-PBE)

Data for a relaxed structure of TcHSe2.

Properties
**Density**: 6.3 Mg/m³
**Space-group type**: C2/m, No. 12
**Relative energy among the computed polymorphs**: 3 meV/atom
**Energy**: -5.3491 eV per atom

Cell and atoms, written as CIF:
```
data_TcHSe2
_symmetry_space_group_name_H-M 'P 1'
_symmetry_Int_Tables_number 1
_cell_length_a 6.215
_cell_length_b 6.215
_cell_length_c 8.322
_cell_angle_alpha 122.87
_cell_angle_beta 122.87
_cell_angle_gamma 30.82
loop_
_symmetry_equiv_pos_as_xyz
'x,y,z'
loop_
_atom_site_label
_atom_site_fract_x
_atom_site_fract_y
_atom_site_fract_z
_atom_site_occupancy
Tc1 0.132 0.132 0.436 1
Tc2 0.868 0.868 0.564 1
H1 0.000 0.000 0.500 1
H2 0.500 0.500 0.000 1
Se1 0.258 0.258 0.288 1
Se2 0.468 0.468 0.183 1
Se3 0.532 0.532 0.817 1
Se4 0.742 0.742 0.712 1
```



# 8
## Ac2Pm5Y5 (GGA-PBE)

Data for a relaxed structure of Ac2Pm5Y5.

Properties
**Energy relative to the elements**: 0.40 eV/f.u.
**Density**: 6.4 Mg/m³
**Space-group type**: C2/m, No. 12
**Energy**: -5.3242 eV per atom

Cell and atoms, written as CIF:
```
data_Ac2Pm5Y5
_symmetry_space_group_name_H-M 'P 1'
_symmetry_Int_Tables_number 1
_cell_length_a 8.216
_cell_length_b 8.216
_cell_length_c 11.575
_cell_angle_alpha 115.11
_cell_angle_beta 115.11
_cell_angle_gamma 36.99
loop_
_symmetry_equiv_pos_as_xyz
'x,y,z'
loop_
_atom_site_label
_atom_site_fract_x
_atom_site_fract_y
_atom_site_fract_z
_atom_site_occupancy
Ac1 0.082 0.082 0.248 1
Ac2 0.918 0.918 0.752 1
Pm1 0.334 0.334 0.499 1
Pm2 0.413 0.413 0.249 1
Pm3 0.500 0.500 0.000 1
Pm4 0.587 0.587 0.751 1
Pm5 0.666 0.666 0.501 1
Y1 0.000 0.000 0.500 1
Y2 0.170 0.170 0.001 1
Y3 0.247 0.247 0.749 1
Y4 0.753 0.753 0.251 1
Y5 0.830 0.830 0.999 1
```